## SrLiIn2 (PBE)

Data for a relaxed SrLiIn2 crystal.

a b c (Å): 3.909 3.909 7.484
angles (deg): 90.00 90.00 90.00
Space group P4mm (No. 99)
Asymmetric unit:
1 Sr 0.000 0.000 0.000 [1 per cell]
2 Li 0.500 0.500 0.677 [1 per cell]
3 In 0.000 0.000 0.518 [1 per cell]
4 In 0.500 0.500 0.282 [1 per cell]

Values from the calculation:
total DFT energy (no corrections): -2.47 eV/atom


## Sr2Li5In5 (PBE)

Data for a relaxed Sr2Li5In5 crystal.

a b c (Å): 4.828 5.971 10.513
angles (deg): 90.00 90.00 90.00
Space group Pmmm (No. 47)
Asymmetric unit:
1 Sr 0.000 0.000 0.000 [1 per cell]
2 Sr 0.000 0.500 0.500 [1 per cell]
3 Li 0.500 0.000 0.500 [1 per cell]
4 Li 0.500 0.243 0.245 [4 per cell]
5 In 0.000 0.000 0.336 [2 per cell]
6 In 0.000 0.500 0.182 [2 per cell]
7 In 0.500 0.500 0.000 [1 per cell]

Values from the calculation:
total DFT energy (no corrections): -2.51 eV/atom


## Sr3Li2In2 (PBE)

Data for a relaxed Sr3Li2In2 crystal.

a b c (Å): 4.346 5.094 21.344
angles (deg): 90.00 90.00 90.00
Space group Immm (No. 71)
Asymmetric unit:
1 Sr 0.000 0.000 0.000 [2 per cell]
2 Sr 0.000 0.500 0.192 [4 per cell]
3 Li 0.000 0.000 0.430 [4 per cell]
4 In 0.000 0.500 0.365 [4 per cell]

Values from the calculation:
total DFT energy (no corrections): -2.30 eV/atom


## SrLi3In (PBE)

Data for a relaxed SrLi3In crystal.

a b c (Å): 6.9968 6.9968 6.3338
angles (deg): 90.00 90.00 120.00
Space group P6_3/mmc (No. 194)
Asymmetric unit:
1 Sr 0.3333 0.6667 0.2500 [2 per cell]
2 Li 0.1901 0.3801 0.7500 [6 per cell]
3 In 0.0000 0.0000 0.0000 [2 per cell]

Values from the calculation:
offset from the most stable computed form: 0.0674 eV/atom


## SrLiIn4 (PBE)

Data for a relaxed SrLiIn4 crystal.

a b c (Å): 5.179 15.936 7.952
angles (deg): 90.00 90.00 90.00
Space group Cmcm (No. 63)
Asymmetric unit:
1 Sr 0.000 0.112 0.250 [4 per cell]
2 Li 0.000 0.348 0.250 [4 per cell]
3 In 0.000 0.090 0.750 [4 per cell]
4 In 0.000 0.276 0.569 [8 per cell]
5 In 0.000 0.500 0.000 [4 per cell]

Values from the calculation:
offset from the most stable computed form: 0.0918 eV/atom


## SrLiIn (PBE)

Data for a relaxed SrLiIn crystal.

a b c (Å): 7.254 7.254 7.254
angles (deg): 90.00 90.00 90.00
Space group F-43m (No. 216)
Asymmetric unit:
1 Sr 0.000 0.000 0.000 [4 per cell]
2 Li 0.250 0.250 0.750 [4 per cell]
3 In 0.000 0.000 0.500 [4 per cell]

Values from the calculation:
total DFT energy (no corrections): -2.19 eV/atom


## Sr3Li2In9 (PBE)

Data for a relaxed Sr3Li2In9 crystal.

a b c (Å): 4.935 10.816 14.277
angles (deg): 90.00 90.00 90.00
Space group Immm (No. 71)
Asymmetric unit:
1 Sr 0.000 0.000 0.000 [2 per cell]
2 Sr 0.000 0.000 0.300 [4 per cell]
3 Li 0.000 0.182 0.500 [4 per cell]
4 In 0.000 0.284 0.140 [8 per cell]
5 In 0.000 0.364 0.347 [8 per cell]
6 In 0.000 0.500 0.000 [2 per cell]

Values from the calculation:
total DFT energy (no corrections): -2.78 eV/atom


## Sr2LiIn (PBE)

Data for a relaxed Sr2LiIn crystal.

a b c (Å): 4.0292 4.0292 33.1270
angles (deg): 90.00 90.00 120.00
Space group R-3m (No. 166, hexagonal axes)
Asymmetric unit:
1 Sr 0.0000 0.0000 0.2452 [6 per cell]
2 Li 0.0000 0.0000 0.0000 [3 per cell]
3 In 0.0000 0.0000 0.5000 [3 per cell]

Values from the calculation:
total DFT energy (no corrections): -2.06 eV/atom